Below is Ni3RhC after structural relaxation, with properties calculated at the PBE level.

Properties
SG: Pm-3m (221)
Formation energy from the elements, meV per atom: 253
Uncorrected energy, eV/cell: -32.65

Cell: 3.7849 3.7849 3.7849 Å, 90.00 90.00 90.00°
With the nearest neighbours (Å) after each atom.
Fractional positions:
Ni 0.0000 0.0000 0.5000  2 C 1.89
Ni 0.0000 0.5000 0.0000  2 C 1.89
Ni 0.5000 0.0000 0.0000  2 C 1.89
Rh 0.5000 0.5000 0.5000  12 Ni 2.68
C 0.0000 0.0000 0.0000  6 Ni 1.89


Below is KGaGe2Pt after structural relaxation, with properties calculated at the PBE level.

Properties
SG: I-4m2 (119)
Formation energy from the elements, meV per atom: -254
Uncorrected energy, eV/cell: -20.67

Cell: 6.4676 6.4676 6.4676 Å, 140.81 140.81 56.62°
With the nearest neighbours (Å) after each atom.
Fractional positions:
K 0.0000 0.0000 0.0000  8 Ge 3.38, 4 Pt 3.58, 4 Ga 3.58
Ga 0.2500 0.7500 0.5000  4 Ge 2.60
Ge 0.3754 0.3754 0.0000  2 Pt 2.60, 2 Ga 2.60, 1 Ge 2.84
Ge 0.6246 0.6246 0.0000  2 Pt 2.60, 2 Ga 2.60, 1 Ge 2.84
Pt 0.7500 0.2500 0.5000  4 Ge 2.60


Below is KGaPb after structural relaxation, with properties calculated at the PBE level.

Properties
SG: Pnma (62)
Formation energy from the elements, meV per atom: -134
Uncorrected energy, eV/cell: -32.93

Cell: 8.6535 5.1335 8.2866 Å, 90.00 90.00 90.00°
With the nearest neighbours (Å) after each atom.
Fractional positions:
K 0.0084 0.2500 0.1759  4 Ga 3.50-3.77, 6 Pb 3.55-3.85, 2 K 3.89
K 0.4916 0.7500 0.6759  4 Ga 3.50-3.77, 6 Pb 3.55-3.85, 2 K 3.89
K 0.5084 0.2500 0.3241  4 Ga 3.50-3.77, 6 Pb 3.55-3.85, 2 K 3.89
K 0.9916 0.7500 0.8241  4 Ga 3.50-3.77, 6 Pb 3.55-3.85, 2 K 3.89
Ga 0.1691 0.7500 0.4081  4 Pb 2.93-2.99
Ga 0.3309 0.2500 0.9081  4 Pb 2.93-2.99
Ga 0.6691 0.7500 0.0919  4 Pb 2.93-2.99
Ga 0.8309 0.2500 0.5919  4 Pb 2.93-2.99
Pb 0.1699 0.2500 0.5934  4 Ga 2.93-2.99
Pb 0.3301 0.7500 0.0934  4 Ga 2.93-2.99
Pb 0.6699 0.2500 0.9066  4 Ga 2.93-2.99
Pb 0.8301 0.7500 0.4066  4 Ga 2.93-2.99